First-principles (GGA+U) data for an optimized crystal structure of Zr6Fe2O, as listed in the Alexandria database.

Lattice parameters (Å, degrees): 6.018 6.018 9.150 89.62 89.62 31.81
Site moments in Bohr magnetons follow the coordinates.
Positions (direct):
Zr (0.633, 0.633, 0.458)  -0.18
Zr (0.044, 0.044, 0.749)  -0.17
Zr (0.634, 0.634, 0.046)  -0.21
Zr (0.367, 0.367, 0.542)  -0.18
Zr (0.366, 0.366, 0.954)  -0.21
Zr (0.956, 0.956, 0.251)  -0.17
Fe (0.258, 0.258, 0.252)  3.36
Fe (0.742, 0.742, 0.748)  3.36
O (0.000, 0.000, 0.500)  -0.01

Properties
Space-group type: C2/m (12)
E_tot (eV per atom): -7.87
Calculated volume (Å³ per atom): 19.408